(1)
## CeNd2SmSe4 (GGA-PBE)

Data for a geometry-optimized CeNd2SmSe4 structure.

CIF file:
```
data_CeNd2SmSe4
_chemical_formula_sum 'Ce1 Nd2 Sm1 Se4'
_symmetry_space_group_name_H-M 'P 1 2/m 1'
_symmetry_Int_Tables_number 10
_cell_length_a 7.299
_cell_length_b 4.186
_cell_length_c 7.307
_cell_angle_alpha 90.00
_cell_angle_beta 109.15
_cell_angle_gamma 90.00
loop_
_symmetry_equiv_pos_as_xyz
'x,y,z'
'-x,-y,-z'
'-x,y,-z'
'x,-y,z'
loop_
_atom_site_label
_atom_site_type_symbol
_atom_site_fract_x
_atom_site_fract_y
_atom_site_fract_z
_atom_site_occupancy
Ce1 Ce 0.000 0.000 0.000 1
Nd1 Nd 0.500 0.000 0.500 1
Nd2 Nd 0.500 0.500 0.000 1
Sm1 Sm 0.000 0.500 0.500 1
Se1 Se 0.246 0.000 0.748 1
Se2 Se 0.247 0.500 0.250 1
```

(2)
## CeNd3Sm2Se6 (GGA-PBE)

Data for a geometry-optimized CeNd3Sm2Se6 structure.

CIF file:
```
data_CeNd3Sm2Se6
_chemical_formula_sum 'Ce2 Nd6 Sm4 Se12'
_symmetry_space_group_name_H-M 'C 1 2/m 1'
_symmetry_Int_Tables_number 12
_cell_length_a 7.270
_cell_length_b 12.623
_cell_length_c 7.298
_cell_angle_alpha 90.00
_cell_angle_beta 109.49
_cell_angle_gamma 90.00
loop_
_symmetry_equiv_pos_as_xyz
'x,y,z'
'-x,-y,-z'
'-x,y,-z'
'x,-y,z'
'x+1/2,y+1/2,z'
'-x+1/2,-y+1/2,-z'
'-x+1/2,y+1/2,-z'
'x+1/2,-y+1/2,z'
loop_
_atom_site_label
_atom_site_type_symbol
_atom_site_fract_x
_atom_site_fract_y
_atom_site_fract_z
_atom_site_occupancy
Ce1 Ce 0.000 0.000 0.000 1
Nd1 Nd 0.000 0.169 0.500 1
Nd2 Nd 0.000 0.500 0.500 1
Sm1 Sm 0.000 0.333 0.000 1
Se1 Se 0.248 0.500 0.246 1
Se2 Se 0.249 0.167 0.245 1
```

(3)
## Ce3NdSm2Se6 (GGA-PBE)

Data for a geometry-optimized Ce3NdSm2Se6 structure.

CIF file:
```
data_Ce3NdSm2Se6
_chemical_formula_sum 'Ce6 Nd2 Sm4 Se12'
_symmetry_space_group_name_H-M 'C 1 2/m 1'
_symmetry_Int_Tables_number 12
_cell_length_a 7.257
_cell_length_b 12.581
_cell_length_c 7.295
_cell_angle_alpha 90.00
_cell_angle_beta 109.40
_cell_angle_gamma 90.00
loop_
_symmetry_equiv_pos_as_xyz
'x,y,z'
'-x,-y,-z'
'-x,y,-z'
'x,-y,z'
'x+1/2,y+1/2,z'
'-x+1/2,-y+1/2,-z'
'-x+1/2,y+1/2,-z'
'x+1/2,-y+1/2,z'
loop_
_atom_site_label
_atom_site_type_symbol
_atom_site_fract_x
_atom_site_fract_y
_atom_site_fract_z
_atom_site_occupancy
Ce1 Ce 0.000 0.000 0.000 1
Ce2 Ce 0.000 0.335 0.000 1
Nd1 Nd 0.000 0.500 0.500 1
Sm1 Sm 0.000 0.167 0.500 1
Se1 Se 0.246 0.000 0.748 1
Se2 Se 0.249 0.168 0.251 1
```

(4)
## CeNd4SmSe8 (GGA-PBE)

Data for a geometry-optimized CeNd4SmSe8 structure.

CIF file:
```
data_CeNd4SmSe8
_chemical_formula_sum 'Ce3 Nd12 Sm3 Se24'
_symmetry_space_group_name_H-M 'R 3 m'
_symmetry_Int_Tables_number 160
_symmetry_space_group_name_Hall 'R 3 -2"'
_cell_length_a 8.7185
_cell_length_b 8.7185
_cell_length_c 21.2823
_cell_angle_alpha 90.00
_cell_angle_beta 90.00
_cell_angle_gamma 120.00
loop_
_atom_site_label
_atom_site_type_symbol
_atom_site_fract_x
_atom_site_fract_y
_atom_site_fract_z
_atom_site_occupancy
Ce1 Ce 0.0000 0.0000 0.0000 1
Nd1 Nd 0.0000 0.0000 0.2488 1
Nd2 Nd 0.1669 0.3339 0.4575 1
Sm1 Sm 0.0000 0.0000 0.6243 1
Se1 Se 0.0000 0.0000 0.3816 1
Se2 Se 0.0000 0.0000 0.8658 1
Se3 Se 0.0261 0.5131 0.3761 1
Se4 Se 0.1779 0.3558 0.2061 1
```

(5)
## Ce2NdSmSe4 (GGA-PBE)

Data for a geometry-optimized Ce2NdSmSe4 structure.

CIF file:
```
data_Ce2NdSmSe4
_chemical_formula_sum 'Ce2 Nd1 Sm1 Se4'
_symmetry_space_group_name_H-M 'P 1 2/m 1'
_symmetry_Int_Tables_number 10
_cell_length_a 7.277
_cell_length_b 4.185
_cell_length_c 7.309
_cell_angle_alpha 90.00
_cell_angle_beta 109.24
_cell_angle_gamma 90.00
loop_
_symmetry_equiv_pos_as_xyz
'x,y,z'
'-x,-y,-z'
'-x,y,-z'
'x,-y,z'
loop_
_atom_site_label
_atom_site_type_symbol
_atom_site_fract_x
_atom_site_fract_y
_atom_site_fract_z
_atom_site_occupancy
Ce1 Ce 0.000 0.000 0.000 1
Ce2 Ce 0.500 0.500 0.000 1
Nd1 Nd 0.000 0.500 0.500 1
Sm1 Sm 0.500 0.000 0.500 1
Se1 Se 0.252 0.000 0.750 1
Se2 Se 0.253 0.500 0.252 1
```

(6)
## Ce3Nd4SmSe8 (GGA-PBE)

Data for a geometry-optimized Ce3Nd4SmSe8 structure.

CIF file:
```
data_Ce3Nd4SmSe8
_chemical_formula_sum 'Ce9 Nd12 Sm3 Se24'
_symmetry_space_group_name_H-M 'R -3 m'
_symmetry_Int_Tables_number 166
_symmetry_space_group_name_Hall '-R 3 2"'
_cell_length_a 8.4245
_cell_length_b 8.4245
_cell_length_c 20.6488
_cell_angle_alpha 90.00
_cell_angle_beta 90.00
_cell_angle_gamma 120.00
loop_
_atom_site_label
_atom_site_type_symbol
_atom_site_fract_x
_atom_site_fract_y
_atom_site_fract_z
_atom_site_occupancy
Ce1 Ce 0.0000 0.5000 0.0000 1
Nd1 Nd 0.0000 0.0000 0.5000 1
Nd2 Nd 0.0000 0.5000 0.5000 1
Sm1 Sm 0.0000 0.0000 0.0000 1
Se1 Se 0.0000 0.0000 0.2507 1
Se2 Se 0.0010 0.5005 0.7489 1
```

(7)
## Ce2NdSmSe5 (GGA-PBE)

Data for a geometry-optimized Ce2NdSmSe5 structure.

CIF file:
```
data_Ce2NdSmSe5
_chemical_formula_sum 'Ce2 Nd1 Sm1 Se5'
_symmetry_space_group_name_H-M 'P 4/m m m'
_symmetry_Int_Tables_number 123
_symmetry_space_group_name_Hall '-P 4 2'
_cell_length_a 5.245
_cell_length_b 5.245
_cell_length_c 11.062
_cell_angle_alpha 90.00
_cell_angle_beta 90.00
_cell_angle_gamma 90.00
loop_
_atom_site_label
_atom_site_type_symbol
_atom_site_fract_x
_atom_site_fract_y
_atom_site_fract_z
_atom_site_occupancy
Ce1 Ce 0.000 0.000 0.181 1
Nd1 Nd 0.500 0.500 0.500 1
Sm1 Sm 0.500 0.500 0.000 1
Se1 Se 0.000 0.000 0.500 1
Se2 Se 0.000 0.500 0.000 1
Se3 Se 0.500 0.500 0.253 1
```

(8)
## SrCe2NdSe4 (GGA-PBE)

Data for a geometry-optimized SrCe2NdSe4 structure.

CIF file:
```
data_SrCe2NdSe4
_chemical_formula_sum 'Sr1 Ce2 Nd1 Se4'
_symmetry_space_group_name_H-M 'P 1 2/m 1'
_symmetry_Int_Tables_number 10
_cell_length_a 7.389
_cell_length_b 4.242
_cell_length_c 7.432
_cell_angle_alpha 90.00
_cell_angle_beta 109.15
_cell_angle_gamma 90.00
loop_
_symmetry_equiv_pos_as_xyz
'x,y,z'
'-x,-y,-z'
'-x,y,-z'
'x,-y,z'
loop_
_atom_site_label
_atom_site_type_symbol
_atom_site_fract_x
_atom_site_fract_y
_atom_site_fract_z
_atom_site_occupancy
Sr1 Sr 0.000 0.000 0.000 1
Ce1 Ce 0.000 0.500 0.500 1
Ce2 Ce 0.500 0.000 0.500 1
Nd1 Nd 0.500 0.500 0.000 1
Se1 Se 0.252 0.000 0.747 1
Se2 Se 0.255 0.500 0.255 1
```

(9)
## SrCeNd2Se4 (GGA-PBE)

Data for a geometry-optimized SrCeNd2Se4 structure.

CIF file:
```
data_SrCeNd2Se4
_chemical_formula_sum 'Sr1 Ce1 Nd2 Se4'
_symmetry_space_group_name_H-M 'P 1 2/m 1'
_symmetry_Int_Tables_number 10
_cell_length_a 7.396
_cell_length_b 4.249
_cell_length_c 7.421
_cell_angle_alpha 90.00
_cell_angle_beta 109.20
_cell_angle_gamma 90.00
loop_
_symmetry_equiv_pos_as_xyz
'x,y,z'
'-x,-y,-z'
'-x,y,-z'
'x,-y,z'
loop_
_atom_site_label
_atom_site_type_symbol
_atom_site_fract_x
_atom_site_fract_y
_atom_site_fract_z
_atom_site_occupancy
Sr1 Sr 0.000 0.000 0.000 1
Ce1 Ce 0.000 0.500 0.500 1
Nd1 Nd 0.500 0.000 0.500 1
Nd2 Nd 0.500 0.500 0.000 1
Se1 Se 0.251 0.000 0.747 1
Se2 Se 0.254 0.500 0.255 1
```

(10)
## SrCe3Nd4Se8 (GGA-PBE)

Data for a geometry-optimized SrCe3Nd4Se8 structure.

CIF file:
```
data_SrCe3Nd4Se8
_chemical_formula_sum 'Sr3 Ce9 Nd12 Se24'
_symmetry_space_group_name_H-M 'R -3 m'
_symmetry_Int_Tables_number 166
_symmetry_space_group_name_Hall '-R 3 2"'
_cell_length_a 8.4913
_cell_length_b 8.4913
_cell_length_c 20.7654
_cell_angle_alpha 90.00
_cell_angle_beta 90.00
_cell_angle_gamma 120.00
loop_
_atom_site_label
_atom_site_type_symbol
_atom_site_fract_x
_atom_site_fract_y
_atom_site_fract_z
_atom_site_occupancy
Sr1 Sr 0.0000 0.0000 0.0000 1
Ce1 Ce 0.0000 0.5000 0.0000 1
Nd1 Nd 0.0000 0.0000 0.5000 1
Nd2 Nd 0.0000 0.5000 0.5000 1
Se1 Se 0.0000 0.0000 0.2507 1
Se2 Se 0.0032 0.5016 0.2499 1
```

(11)
## TbCe3Nd2Se6 (GGA-PBE)

Data for a geometry-optimized TbCe3Nd2Se6 structure.

CIF file:
```
data_TbCe3Nd2Se6
_chemical_formula_sum 'Tb2 Ce6 Nd4 Se12'
_symmetry_space_group_name_H-M 'C 1 2/m 1'
_symmetry_Int_Tables_number 12
_cell_length_a 7.253
_cell_length_b 12.570
_cell_length_c 7.288
_cell_angle_alpha 90.00
_cell_angle_beta 109.41
_cell_angle_gamma 90.00
loop_
_symmetry_equiv_pos_as_xyz
'x,y,z'
'-x,-y,-z'
'-x,y,-z'
'x,-y,z'
'x+1/2,y+1/2,z'
'-x+1/2,-y+1/2,-z'
'-x+1/2,y+1/2,-z'
'x+1/2,-y+1/2,z'
loop_
_atom_site_label
_atom_site_type_symbol
_atom_site_fract_x
_atom_site_fract_y
_atom_site_fract_z
_atom_site_occupancy
Tb1 Tb 0.000 0.000 0.000 1
Ce1 Ce 0.000 0.170 0.500 1
Ce2 Ce 0.000 0.500 0.500 1
Nd1 Nd 0.000 0.334 0.000 1
Se1 Se 0.243 0.000 0.750 1
Se2 Se 0.245 0.163 0.247 1
```

(12)
## TbCeNd2Se5 (GGA-PBE)

Data for a geometry-optimized TbCeNd2Se5 structure.

CIF file:
```
data_TbCeNd2Se5
_chemical_formula_sum 'Tb1 Ce1 Nd2 Se5'
_symmetry_space_group_name_H-M 'P 4/m m m'
_symmetry_Int_Tables_number 123
_symmetry_space_group_name_Hall '-P 4 2'
_cell_length_a 5.184
_cell_length_b 5.184
_cell_length_c 11.066
_cell_angle_alpha 90.00
_cell_angle_beta 90.00
_cell_angle_gamma 90.00
loop_
_atom_site_label
_atom_site_type_symbol
_atom_site_fract_x
_atom_site_fract_y
_atom_site_fract_z
_atom_site_occupancy
Tb1 Tb 0.000 0.000 0.000 1
Ce1 Ce 0.000 0.000 0.500 1
Nd1 Nd 0.500 0.500 0.166 1
Se1 Se 0.000 0.000 0.249 1
Se2 Se 0.000 0.500 0.000 1
Se3 Se 0.500 0.500 0.500 1
```

(13)
## TbCe2Nd3Se6 (GGA-PBE)

Data for a geometry-optimized TbCe2Nd3Se6 structure.

CIF file:
```
data_TbCe2Nd3Se6
_chemical_formula_sum 'Tb2 Ce4 Nd6 Se12'
_symmetry_space_group_name_H-M 'C 1 2/m 1'
_symmetry_Int_Tables_number 12
_cell_length_a 7.259
_cell_length_b 12.590
_cell_length_c 7.289
_cell_angle_alpha 90.00
_cell_angle_beta 109.48
_cell_angle_gamma 90.00
loop_
_symmetry_equiv_pos_as_xyz
'x,y,z'
'-x,-y,-z'
'-x,y,-z'
'x,-y,z'
'x+1/2,y+1/2,z'
'-x+1/2,-y+1/2,-z'
'-x+1/2,y+1/2,-z'
'x+1/2,-y+1/2,z'
loop_
_atom_site_label
_atom_site_type_symbol
_atom_site_fract_x
_atom_site_fract_y
_atom_site_fract_z
_atom_site_occupancy
Tb1 Tb 0.000 0.000 0.000 1
Ce1 Ce 0.000 0.334 0.000 1
Nd1 Nd 0.000 0.167 0.500 1
Nd2 Nd 0.000 0.500 0.500 1
Se1 Se 0.246 0.164 0.244 1
Se2 Se 0.247 0.000 0.755 1
```

(14)
## Tb3Ce2NdSe6 (GGA-PBE)

Data for a geometry-optimized Tb3Ce2NdSe6 structure.

CIF file:
```
data_Tb3Ce2NdSe6
_chemical_formula_sum 'Tb6 Ce4 Nd2 Se12'
_symmetry_space_group_name_H-M 'C 1 2/m 1'
_symmetry_Int_Tables_number 12
_cell_length_a 7.150
_cell_length_b 12.402
_cell_length_c 7.261
_cell_angle_alpha 90.00
_cell_angle_beta 109.20
_cell_angle_gamma 90.00
loop_
_symmetry_equiv_pos_as_xyz
'x,y,z'
'-x,-y,-z'
'-x,y,-z'
'x,-y,z'
'x+1/2,y+1/2,z'
'-x+1/2,-y+1/2,-z'
'-x+1/2,y+1/2,-z'
'x+1/2,-y+1/2,z'
loop_
_atom_site_label
_atom_site_type_symbol
_atom_site_fract_x
_atom_site_fract_y
_atom_site_fract_z
_atom_site_occupancy
Tb1 Tb 0.000 0.000 0.000 1
Tb2 Tb 0.000 0.336 0.000 1
Ce1 Ce 0.000 0.167 0.500 1
Nd1 Nd 0.000 0.500 0.500 1
Se1 Se 0.245 0.168 0.239 1
Se2 Se 0.249 0.500 0.241 1
```

(15)
## Tb2CeNd3Se6 (GGA-PBE)

Data for a geometry-optimized Tb2CeNd3Se6 structure.

CIF file:
```
data_Tb2CeNd3Se6
_chemical_formula_sum 'Tb4 Ce2 Nd6 Se12'
_symmetry_space_group_name_H-M 'C 1 2/m 1'
_symmetry_Int_Tables_number 12
_cell_length_a 7.217
_cell_length_b 12.538
_cell_length_c 7.267
_cell_angle_alpha 90.00
_cell_angle_beta 109.48
_cell_angle_gamma 90.00
loop_
_symmetry_equiv_pos_as_xyz
'x,y,z'
'-x,-y,-z'
'-x,y,-z'
'x,-y,z'
'x+1/2,y+1/2,z'
'-x+1/2,-y+1/2,-z'
'-x+1/2,y+1/2,-z'
'x+1/2,-y+1/2,z'
loop_
_atom_site_label
_atom_site_type_symbol
_atom_site_fract_x
_atom_site_fract_y
_atom_site_fract_z
_atom_site_occupancy
Tb1 Tb 0.000 0.167 0.000 1
Ce1 Ce 0.000 0.500 0.000 1
Nd1 Nd 0.000 0.000 0.500 1
Nd2 Nd 0.000 0.334 0.500 1
Se1 Se 0.242 0.000 0.240 1
Se2 Se 0.249 0.331 0.241 1
```

(16)
## TbCe3Nd3Se8 (GGA-PBE)

Data for a geometry-optimized TbCe3Nd3Se8 structure.

CIF file:
```
data_TbCe3Nd3Se8
_chemical_formula_sum 'Tb3 Ce9 Nd9 Se24'
_symmetry_space_group_name_H-M 'R -3 m'
_symmetry_Int_Tables_number 166
_symmetry_space_group_name_Hall '-R 3 2"'
_cell_length_a 8.4063
_cell_length_b 8.4063
_cell_length_c 20.6130
_cell_angle_alpha 90.00
_cell_angle_beta 90.00
_cell_angle_gamma 120.00
loop_
_atom_site_label
_atom_site_type_symbol
_atom_site_fract_x
_atom_site_fract_y
_atom_site_fract_z
_atom_site_occupancy
Tb1 Tb 0.0000 0.0000 0.0000 1
Ce1 Ce 0.0000 0.5000 0.0000 1
Nd1 Nd 0.0000 0.5000 0.5000 1
Se1 Se 0.0000 0.0000 0.2505 1
Se2 Se 0.0034 0.5017 0.7486 1
```

(17)
## TbCe2NdSe5 (GGA-PBE)

Data for a geometry-optimized TbCe2NdSe5 structure.

CIF file:
```
data_TbCe2NdSe5
_chemical_formula_sum 'Tb1 Ce2 Nd1 Se5'
_symmetry_space_group_name_H-M 'P 4/m m m'
_symmetry_Int_Tables_number 123
_symmetry_space_group_name_Hall '-P 4 2'
_cell_length_a 5.157
_cell_length_b 5.157
_cell_length_c 11.007
_cell_angle_alpha 90.00
_cell_angle_beta 90.00
_cell_angle_gamma 90.00
loop_
_atom_site_label
_atom_site_type_symbol
_atom_site_fract_x
_atom_site_fract_y
_atom_site_fract_z
_atom_site_occupancy
Tb1 Tb 0.000 0.000 0.000 1
Ce1 Ce 0.500 0.500 0.188 1
Nd1 Nd 0.000 0.000 0.500 1
Se1 Se 0.000 0.000 0.251 1
Se2 Se 0.000 0.500 0.000 1
Se3 Se 0.500 0.500 0.500 1
```

(18)
## TbCe4Nd3Se8 (GGA-PBE)

Data for a geometry-optimized TbCe4Nd3Se8 structure.

CIF file:
```
data_TbCe4Nd3Se8
_chemical_formula_sum 'Tb3 Ce12 Nd9 Se24'
_symmetry_space_group_name_H-M 'R -3 m'
_symmetry_Int_Tables_number 166
_symmetry_space_group_name_Hall '-R 3 2"'
_cell_length_a 8.3918
_cell_length_b 8.3918
_cell_length_c 20.6432
_cell_angle_alpha 90.00
_cell_angle_beta 90.00
_cell_angle_gamma 120.00
loop_
_atom_site_label
_atom_site_type_symbol
_atom_site_fract_x
_atom_site_fract_y
_atom_site_fract_z
_atom_site_occupancy
Tb1 Tb 0.0000 0.0000 0.0000 1
Ce1 Ce 0.0000 0.0000 0.5000 1
Ce2 Ce 0.0000 0.5000 0.5000 1
Nd1 Nd 0.0000 0.5000 0.0000 1
Se1 Se 0.0000 0.0000 0.2493 1
Se2 Se 0.0058 0.5029 0.7492 1
```

(19)
## TbCeNd2Se4 (GGA-PBE)

Data for a geometry-optimized TbCeNd2Se4 structure.

CIF file:
```
data_TbCeNd2Se4
_chemical_formula_sum 'Tb1 Ce1 Nd2 Se4'
_symmetry_space_group_name_H-M 'P 1 2/m 1'
_symmetry_Int_Tables_number 10
_cell_length_a 7.263
_cell_length_b 4.162
_cell_length_c 7.282
_cell_angle_alpha 90.00
_cell_angle_beta 109.10
_cell_angle_gamma 90.00
loop_
_symmetry_equiv_pos_as_xyz
'x,y,z'
'-x,-y,-z'
'-x,y,-z'
'x,-y,z'
loop_
_atom_site_label
_atom_site_type_symbol
_atom_site_fract_x
_atom_site_fract_y
_atom_site_fract_z
_atom_site_occupancy
Tb1 Tb 0.000 0.000 0.000 1
Ce1 Ce 0.000 0.500 0.500 1
Nd1 Nd 0.500 0.000 0.500 1
Nd2 Nd 0.500 0.500 0.000 1
Se1 Se 0.241 0.500 0.243 1
Se2 Se 0.244 0.000 0.752 1
```

(20)
## Tb2Ce3NdSe6 (GGA-PBE)

Data for a geometry-optimized Tb2Ce3NdSe6 structure.

CIF file:
```
data_Tb2Ce3NdSe6
_chemical_formula_sum 'Tb4 Ce6 Nd2 Se12'
_symmetry_space_group_name_H-M 'C 1 2/m 1'
_symmetry_Int_Tables_number 12
_cell_length_a 7.204
_cell_length_b 12.487
_cell_length_c 7.266
_cell_angle_alpha 90.00
_cell_angle_beta 109.34
_cell_angle_gamma 90.00
loop_
_symmetry_equiv_pos_as_xyz
'x,y,z'
'-x,-y,-z'
'-x,y,-z'
'x,-y,z'
'x+1/2,y+1/2,z'
'-x+1/2,-y+1/2,-z'
'-x+1/2,y+1/2,-z'
'x+1/2,-y+1/2,z'
loop_
_atom_site_label
_atom_site_type_symbol
_atom_site_fract_x
_atom_site_fract_y
_atom_site_fract_z
_atom_site_occupancy
Tb1 Tb 0.000 0.167 0.000 1
Ce1 Ce 0.000 0.000 0.500 1
Ce2 Ce 0.000 0.337 0.500 1
Nd1 Nd 0.000 0.500 0.000 1
Se1 Se 0.240 0.000 0.241 1
Se2 Se 0.248 0.170 0.755 1
```

| no. | magnetic moment (μB per formula unit) | uncorrected formation energy (eV per atom) |
| --- | --- | --- |
| 1 | 1.0 | -1.83 |
| 2 | 0.9 | -1.83 |
| 3 | 2.9 | -1.83 |
| 4 | 1.7 | -1.71 |
| 5 | 2.0 | -1.83 |
| 6 | 2.8 | -1.84 |
| 7 | 3.4 | -1.23 |
| 8 | 2.4 | -1.84 |
| 9 | 1.1 | -1.86 |
| 10 | 3.0 | -1.84 |
| 11 | 3.0 | -1.83 |
| 12 | 1.4 | -1.26 |
| 13 | 1.8 | -1.83 |
| 14 | 1.9 | -1.81 |
| 15 | 0.8 | -1.82 |
| 16 | 3.5 | -1.86 |
| 17 | 3.5 | -1.29 |
| 18 | 3.9 | -1.83 |
| 19 | 0.9 | -1.82 |
| 20 | 3.0 | -1.82 |